HfNiSbMo: relaxed, PBE.

a = 4.5738 Å, b = 4.5738 Å, c = 4.5738 Å
α = 60.00°, β = 60.00°, γ = 60.00°
With the nearest neighbours (Å) after each atom.
Atoms (fractional coordinates):
1 Mo 0.2500 0.2500 0.2500  4 Sb 2.80, 4 Hf 2.80
2 Ni 0.7500 0.7500 0.7500  4 Sb 2.80, 4 Hf 2.80
3 Sb 0.0000 0.0000 0.0000  4 Ni 2.80, 4 Mo 2.80
4 Hf 0.5000 0.5000 0.5000  4 Ni 2.80, 4 Mo 2.80

Results
The crystal system is cubic. The relative energy among the computed polymorphs comes out at 0 meV/atom.